Entry 1:
Computed, not measured: an optimized crystal structure of Zr2SbAs at the GGA-PBEsol level of DFT.

Cell: 5.1163 5.1163 5.1163 Å, 133.75 117.96 80.77°
Positions (direct):
Zr  0.2223  0.2223  0.0000
Zr  0.7777  0.7777  0.0000
Sb  0.5000  0.0000  0.5000
As  0.0000  0.5000  0.5000

Values from the calculation:
VASP energy, eV/atom: -7.68
DOS at the Fermi energy, states/eV/f.u.: 2.12
ΔE_f (raw), eV per atom: -0.72

=====

Entry 2:
Computed, not measured: an optimized crystal structure of KMo2Ru at the GGA-PBEsol level of DFT.

Cell: 4.4947 4.4947 4.4947 Å, 60.00 60.00 60.00°
Positions (direct):
K  0.0000  0.0000  0.0000
Mo  0.2500  0.2500  0.2500
Mo  0.7500  0.7500  0.7500
Ru  0.5000  0.5000  0.5000

Values from the calculation:
VASP energy, eV/atom: -7.22
Calculated formation energy, eV/atom: 1.49
DOS at the Fermi energy, states/eV/f.u.: 4.03
Excess energy over the best structure of this formula in the dataset, eV/atom: 0.4445

=====

Entry 3:
Computed, not measured: an optimized crystal structure of SbTe2PRu at the GGA-PBEsol level of DFT.

Cell: 5.0658 5.0658 5.0058 Å, 90.00 90.00 90.00°
Positions (direct):
Sb  0.0000  0.0000  0.0000
Te  0.0000  0.5000  0.5000
Te  0.5000  0.0000  0.5000
P  0.5000  0.5000  0.0000
Ru  0.0000  0.0000  0.5000

Values from the calculation:
VASP energy, eV/atom: -4.72
DOS at the Fermi energy, states/eV/f.u.: 6.00
ΔE_f (raw), eV per atom: 0.79

=====

Entry 4:
Computed, not measured: an optimized crystal structure of Al2TcMo at the GGA-PBEsol level of DFT.

Cell: 8.8453 8.8453 8.8453 Å, 18.19 18.19 18.19°
Positions (direct):
Al  0.2476  0.2476  0.2476
Al  0.7524  0.7524  0.7524
Tc  0.5000  0.5000  0.5000
Mo  0.0000  0.0000  0.0000

Values from the calculation:
VASP energy, eV/atom: -7.86
Calculated formation energy, eV/atom: -0.06
DOS at the Fermi energy, states/eV/f.u.: 3.36
Excess energy over the best structure of this formula in the dataset, eV/atom: 0.2862

=====

Entry 5:
Computed, not measured: an optimized crystal structure of CaTl2Hg2 at the GGA-PBEsol level of DFT.

Cell: 8.1227 8.1227 4.0512 Å, 90.00 90.00 90.00°
Positions (direct):
Ca  0.0000  0.0000  0.0000
Ca  0.5000  0.5000  0.0000
Tl  0.1711  0.3289  0.5000
Tl  0.3289  0.8289  0.5000
Tl  0.6711  0.1711  0.5000
Tl  0.8289  0.6711  0.5000
Hg  0.1306  0.6306  0.0000
Hg  0.3694  0.1306  0.0000
Hg  0.6306  0.8694  0.0000
Hg  0.8694  0.3694  0.0000

Values from the calculation:
VASP energy, eV/atom: -1.92
Calculated formation energy, eV/atom: -0.22
DOS at the Fermi energy, states/eV/f.u.: 2.76
Excess energy over the best structure of this formula in the dataset, eV/atom: 0.0000

=====

Entry 6:
Computed, not measured: an optimized crystal structure of La2Ti2ZnO8 at the GGA-PBEsol level of DFT.

Cell: 3.6771 3.6771 12.6256 Å, 90.00 90.00 90.00°
Positions (direct):
La  0.0000  0.5000  0.1145
La  0.5000  0.0000  0.8855
Ti  0.0000  0.5000  0.7081
Ti  0.5000  0.0000  0.2919
Zn  0.0000  0.0000  0.5000
O  0.0000  0.0000  0.2515
O  0.0000  0.0000  0.7485
O  0.0000  0.5000  0.5656
O  0.0000  0.5000  0.9264
O  0.5000  0.0000  0.0736
O  0.5000  0.0000  0.4344
O  0.5000  0.5000  0.2473
O  0.5000  0.5000  0.7527

Values from the calculation:
VASP energy, eV/atom: -8.45
DOS at the Fermi energy, states/eV/f.u.: 0.00
ΔE_f (raw), eV per atom: -3.00

=====

Entry 7:
Computed, not measured: an optimized crystal structure of YZnNi2 at the GGA-PBEsol level of DFT.

Cell: 4.9609 4.9609 4.9609 Å, 135.81 135.12 64.81°
Positions (direct):
Y  0.0000  0.0000  0.0000
Zn  0.2518  0.7518  0.5000
Ni  0.5000  0.5000  0.0000
Ni  0.7487  0.2487  0.5000

Values from the calculation:
VASP energy, eV/atom: -5.41
Calculated formation energy, eV/atom: -0.23
DOS at the Fermi energy, states/eV/f.u.: 1.70

=====

Entry 8:
Computed, not measured: an optimized crystal structure of LiFe2Ru at the GGA-PBEsol level of DFT.

Cell: 2.5342 3.5972 5.0830 Å, 90.00 90.00 90.00°
Positions (direct):
Li  0.0000  0.0000  0.0000
Fe  0.0000  0.0000  0.5027
Fe  0.5000  0.5000  0.7630
Ru  0.5000  0.5000  0.2743

Values from the calculation:
VASP energy, eV/atom: -7.21
Calculated formation energy, eV/atom: 0.31
DOS at the Fermi energy, states/eV/f.u.: 3.93

=====

Entry 9:
Computed, not measured: an optimized crystal structure of YWN3 at the GGA-PBEsol level of DFT.

Cell: 6.7286 6.7286 5.9791 Å, 90.00 90.00 150.41°
Positions (direct):
Y  0.1861  0.8139  0.7500
Y  0.8139  0.1861  0.2500
W  0.4313  0.5687  0.7500
W  0.5687  0.4313  0.2500
N  0.0012  0.9988  0.2500
N  0.3404  0.6596  0.5168
N  0.3404  0.6596  0.9832
N  0.6596  0.3404  0.0168
N  0.6596  0.3404  0.4832
N  0.9988  0.0012  0.7500

Values from the calculation:
VASP energy, eV/atom: -10.35
ΔE_f (raw), eV per atom: -1.11

=====

Entry 10:
Computed, not measured: an optimized crystal structure of FeHgRu at the GGA-PBEsol level of DFT.

Cell: 5.9241 5.9241 5.9241 Å, 152.68 152.68 39.03°
Positions (direct):
Fe  0.0000  0.0000  0.0000
Hg  0.3193  0.3193  0.0000
Ru  0.6248  0.6248  0.0000

Values from the calculation:
VASP energy, eV/atom: -6.23
Calculated formation energy, eV/atom: 0.34
DOS at the Fermi energy, states/eV/f.u.: 2.74
Excess energy over the best structure of this formula in the dataset, eV/atom: 0.0000

=====

Entry 11:
Computed, not measured: an optimized crystal structure of TaCoSi at the GGA-PBEsol level of DFT.

Cell: 2.7810 2.7810 6.0819 Å, 90.00 90.00 120.00°
Positions (direct):
Ta  0.0000  0.0000  0.0000
Co  0.3333  0.6667  0.6533
Si  0.6667  0.3333  0.3710

Values from the calculation:
VASP energy, eV/atom: -8.77
DOS at the Fermi energy, states/eV/f.u.: 2.91
ΔE_f (raw), eV per atom: -0.09

=====

Entry 12:
Computed, not measured: an optimized crystal structure of SiTcSbI2 at the GGA-PBEsol level of DFT.

Cell: 5.3123 5.3123 5.0417 Å, 90.00 90.00 90.00°
Positions (direct):
Si  0.0000  0.0000  0.0000
Tc  0.5000  0.5000  0.5000
Sb  0.5000  0.5000  0.0000
I  0.0000  0.5000  0.5000
I  0.5000  0.0000  0.5000

Values from the calculation:
VASP energy, eV/atom: -4.08
DOS at the Fermi energy, states/eV/f.u.: 7.36
Excess energy over the best structure of this formula in the dataset, eV/atom: 0.0000
ΔE_f (raw), eV per atom: 0.94

=====

Which of these has the highest VASP energy? CaTl2Hg2

=====

Number 7 is which compound? YZnNi2

=====

Look up the VASP energy of the sixth one. -8.45 eV/atom